Density functional theory data (PBE) for a relaxed BS crystal.

Results
Energy above the lowest structure with this stoichiometry: 0.973 eV per atom
E_form (uncorrected): 0.569 eV per atom
Total DFT energy (no corrections): -0.17762 hartree per atom
V: 12.4 Å³ per atom

```
data_BS
_chemical_formula_sum 'B4 S4'
_symmetry_space_group_name_H-M 'P 42/m n m'
_symmetry_Int_Tables_number 136
_symmetry_space_group_name_Hall '-P 4n 2n'
_cell_length_a 5.786
_cell_length_b 5.786
_cell_length_c 2.959
_cell_angle_alpha 90.00
_cell_angle_beta 90.00
_cell_angle_gamma 90.00
loop_
_atom_site_label
_atom_site_fract_x
_atom_site_fract_y
_atom_site_fract_z
B1 0.177 0.177 0.000
S1 0.176 0.824 0.000
```

Density functional theory data (PBE) for a relaxed BS crystal.

Results
Energy above the lowest structure with this stoichiometry: 0.277 eV per atom
E_form (uncorrected): -0.128 eV per atom
Total DFT energy (no corrections): -0.20323 hartree per atom
V: 16.5 Å³ per atom

```
data_BS
_chemical_formula_sum 'B8 S8'
_symmetry_space_group_name_H-M 'P 21 21 21'
_symmetry_Int_Tables_number 19
_cell_length_a 4.542
_cell_length_b 5.903
_cell_length_c 9.819
_cell_angle_alpha 90.00
_cell_angle_beta 90.00
_cell_angle_gamma 90.00
loop_
_symmetry_equiv_pos_as_xyz
'x,y,z'
'-x+1/2,-y,z+1/2'
'x+1/2,-y+1/2,-z'
'-x,y+1/2,-z+1/2'
loop_
_atom_site_label
_atom_site_fract_x
_atom_site_fract_y
_atom_site_fract_z
B1 0.064 0.041 0.346
B2 0.233 0.681 0.093
S1 0.115 0.908 0.965
S2 0.142 0.741 0.281
```

> Which value of total DFT energy (no corrections) does entry 2 give?

-0.20323 hartree per atom